## Tb2GaRh (PBE-GGA)

Data for a relaxed Tb2GaRh crystal.

The structure belongs to space group P4/mmm (No. 123); the cell edges are 3.551, 3.551 and 6.923 Å and the angles 90.00°, 90.00° and 90.00°. The asymmetric unit holds Tb at (0.000, 0.000, 0.236), Ga at (0.500, 0.500, 0.500) and Rh at (0.500, 0.500, 0.000).

Its crystal system is tetragonal. Its energy of formation is -2.87 eV/f.u.